No. 1
Entry from Alexandria: a relaxed TcSb4W crystal (PBE-GGA).

The space group is F-43m (No. 216) and the conventional cell measures 8.358, 8.358 and 8.358 Å, with angles of 90.00, 90.00 and 90.00 degrees. The distinct sites, in fractional coordinates, are Tc at (0.000, 0.000, 0.000), Sb at (0.125, 0.125, 0.375) and W at (0.250, 0.250, 0.750).

The magnetization is 0.61 μB per atom.

No. 2
Entry from Alexandria: a relaxed TcSb2W crystal (PBE-GGA).

The space group is Imm2 (No. 44) and the conventional cell measures 3.196, 4.212 and 11.606 Å, with angles of 90.00, 90.00 and 90.00 degrees. The distinct sites, in fractional coordinates, are Tc at (0.000, 0.000, 0.000), Sb at (0.000, 0.000, 0.552), Sb at (0.000, 0.500, 0.304) and W at (0.000, 0.500, 0.711).

The magnetization is 0.00 μB per atom. The value obtained for the energy above the most stable polymorph in this dataset is 314 meV per atom.

No. 3
Entry from Alexandria: a relaxed TcSbW2 crystal (PBE-GGA).

The space group is Pmm2 (No. 25) and the conventional cell measures 3.046, 4.157 and 5.415 Å, with angles of 90.00, 90.00 and 90.00 degrees. The distinct sites, in fractional coordinates, are Tc at (0.000, 0.000, 0.000), Sb at (0.500, 0.500, 0.748), W at (0.000, 0.000, 0.462) and W at (0.500, 0.500, 0.246).

The magnetization is 0.00 μB per atom.

no.,total DFT energy (no corrections) (eV/atom),E_form (uncorrected) (eV per atom)
1,-5.05,1.58
2,-7.43,0.46
3,-9.68,0.42